1.
Entry from Alexandria via LeMat-Bulk: an optimized crystal structure of CoSiP2 (GGA-PBE).

Cell and atoms, written as POSCAR:
```
CoSiP2
1.0
5.803 0.010 -0.005
3.841 4.350 0.005
-4.796 -2.237 2.380
P Si Co
2 1 1
Direct
0.095 0.095 0.000
0.405 0.405 0.000
0.750 0.250 0.500
0.250 0.750 0.500
```

Output
* calculated volume: 15.0 Å³/atom
* crystal system: orthorhombic
* density: 4.12 g/cm³

2.
Entry from Alexandria via LeMat-Bulk: an optimized crystal structure of Co2SiP (GGA-PBE).

Cell and atoms, written as POSCAR:
```
Co2SiP
1.0
0.000 2.797 2.797
2.797 0.000 2.797
2.797 2.797 0.000
Si P Co
1 1 2
Direct
0.000 0.000 0.000
0.500 0.500 0.500
0.250 0.250 0.250
0.750 0.750 0.750
```

Output
* calculated volume: 10.9 Å³/atom
* crystal system: cubic
* density: 6.71 g/cm³

3.
Entry from Alexandria via LeMat-Bulk: an optimized crystal structure of CoSiP2 (GGA-PBE).

Cell and atoms, written as POSCAR:
```
CoSiP2
1.0
4.359 0.003 0.000
0.947 4.255 0.000
-2.653 -2.129 2.726
P Co Si
2 1 1
Direct
0.000 0.000 0.000
0.250 0.750 0.500
0.750 0.250 0.500
0.500 0.500 0.000
```

Output
* calculated volume: 12.6 Å³/atom
* crystal system: tetragonal
* density: 4.89 g/cm³

4.
Entry from Alexandria via LeMat-Bulk: an optimized crystal structure of Co2SiP (GGA-PBE).

Cell and atoms, written as POSCAR:
```
Co2SiP
1.0
-1.717 1.328 -2.064
-1.895 0.492 1.893
0.423 5.215 3.004
Si Co P
1 2 1
Direct
0.500 0.750 0.750
0.000 0.499 0.501
0.000 0.001 0.999
0.500 0.250 0.250
```

Output
* calculated volume: 11.0 Å³/atom
* crystal system: monoclinic
* density: 6.70 g/cm³

5.
Entry from Alexandria via LeMat-Bulk: an optimized crystal structure of Co2SiP (GGA-PBE).

Cell and atoms, written as POSCAR:
```
Co2SiP
1.0
4.034 0.000 0.000
2.017 3.493 0.000
2.017 1.164 3.294
P Co Si
1 2 1
Direct
0.500 0.500 0.500
0.250 0.250 0.250
0.000 0.000 0.000
0.750 0.750 0.750
```

Output
* calculated volume: 11.6 Å³/atom
* crystal system: cubic
* density: 6.33 g/cm³

6.
Entry from Alexandria via LeMat-Bulk: an optimized crystal structure of CoSiP2 (GGA-PBE).

Cell and atoms, written as POSCAR:
```
CoSiP2
1.0
2.974 0.000 0.000
0.000 4.603 0.000
0.000 0.000 3.848
P Si Co
2 1 1
Direct
0.000 0.000 0.000
0.500 0.500 0.000
0.500 0.000 0.500
0.000 0.500 0.500
```

Output
* calculated volume: 13.2 Å³/atom
* crystal system: orthorhombic
* density: 4.70 g/cm³

7.
Entry from Alexandria via LeMat-Bulk: an optimized crystal structure of CoSi3P (GGA-PBE).

Cell and atoms, written as POSCAR:
```
CoSi3P
1.0
4.323 0.000 0.000
0.000 4.323 0.000
0.000 0.000 4.323
P Si Co
1 3 1
Direct
0.500 0.500 0.500
0.000 0.000 0.500
0.000 0.500 0.000
0.500 0.000 0.000
0.000 0.000 0.000
```

Output
* calculated volume: 16.2 Å³/atom
* crystal system: cubic
* excess energy over the best structure of this formula in the dataset: 0 meV/atom
* density: 3.58 g/cm³

8.
Entry from Alexandria via LeMat-Bulk: an optimized crystal structure of CoSiP2 (GGA-PBE).

Cell and atoms, written as POSCAR:
```
CoSiP2
1.0
2.831 0.000 0.000
0.000 2.831 0.000
0.000 0.000 6.433
P Co Si
2 1 1
Direct
0.000 0.000 0.960
0.000 0.000 0.540
0.500 0.500 0.750
0.500 0.500 0.250
```

Output
* calculated volume: 12.9 Å³/atom
* crystal system: tetragonal
* density: 4.80 g/cm³

Number 1: ΔE_f (raw) 0.027 eV/atom. Number 2: ΔE_f (raw) -0.185 eV/atom. Number 3: ΔE_f (raw) 0.389 eV/atom. Number 4: ΔE_f (raw) -0.230 eV/atom. Number 5: ΔE_f (raw) 0.217 eV/atom. Number 6: ΔE_f (raw) 0.430 eV/atom. Number 7: ΔE_f (raw) 0.344 eV/atom. Number 8: ΔE_f (raw) 0.206 eV/atom.